## Te3Ir (PBE-GGA)

Data for Te3Ir after structural relaxation.

Properties
The calculation puts the size of the total moment at 0.00 μB per formula unit. As for the density: 8742 kg/m³. The space group is P-6m2. The raw formation energy is 0.140 eV per atom.

Cell: 3.703 3.703 9.198 Å, 90.00 90.00 120.00°
Fractional coordinates of all 4 atoms:
Te1 0.000 0.000 0.000
Te2 0.667 0.333 0.322
Te3 0.667 0.333 0.678
Ir1 0.000 0.000 0.500

## CdIn3S (PBE-GGA)

Data for CdIn3S after structural relaxation.

Properties
The calculation puts the size of the total moment at 0.00 μB per formula unit. As for the density: 5043 kg/m³. The space group is Pm-3m. The raw formation energy is 0.224 eV per atom.

Cell: 5.440 5.440 5.440 Å, 90.00 90.00 90.00°
Fractional coordinates of all 5 atoms:
Cd1 0.000 0.000 0.000
In1 0.000 0.500 0.500
In2 0.500 0.000 0.500
In3 0.500 0.500 0.000
S1 0.500 0.500 0.500

Please write out number 2 again, unchanged.
## CdIn3S (PBE-GGA)

Data for CdIn3S after structural relaxation.

Properties
The calculation puts the size of the total moment at 0.00 μB per formula unit. As for the density: 5043 kg/m³. The space group is Pm-3m. The raw formation energy is 0.224 eV per atom.

Cell: 5.440 5.440 5.440 Å, 90.00 90.00 90.00°
Fractional coordinates of all 5 atoms:
Cd1 0.000 0.000 0.000
In1 0.000 0.500 0.500
In2 0.500 0.000 0.500
In3 0.500 0.500 0.000
S1 0.500 0.500 0.500

- Number 2 is which compound?
  CdIn3S